# 1
A plane-wave DFT calculation with PBE-GGA was carried out for an optimized crystal structure of Pd6Pt5Rh.

a b c (Å): 3.937 7.868 11.873
angles (deg): 90.00 90.00 90.00
Space group Immm (No. 71)
Asymmetric unit:
Pd 0.000 0.248 0.000
Pd 0.000 0.251 0.334
Pt 0.000 0.000 0.165
Pt 0.000 0.000 0.500
Pt 0.000 0.500 0.166
Rh 0.000 0.500 0.500

ΔH_f (0 K) in eV per atom: -0.011
Calculated total energy in eV per cell: -137.68
Magnetization in μB per formula unit: 0.005

# 2
A plane-wave DFT calculation with PBE-GGA was carried out for an optimized crystal structure of PdPtRh.

a b c (Å): 7.181 5.397 4.874
angles (deg): 90.00 90.00 90.00
Space group Pnma (No. 62)
Asymmetric unit:
Pd 0.170 0.250 0.085
Pt 0.176 0.750 0.089
Rh 0.000 0.000 0.500

ΔH_f (0 K) in eV per atom: 0.194
Energy above the lowest structure with this stoichiometry in eV/atom: 0.214
Calculated total energy in eV per cell: -72.01
Magnetization in μB per formula unit: 0.000

# 3
A plane-wave DFT calculation with PBE-GGA was carried out for an optimized crystal structure of Pd6Pt2Rh.

a b c (Å): 2.714 7.552 13.770
angles (deg): 90.00 90.00 90.00
Space group Immm (No. 71)
Asymmetric unit:
Pd 0.000 0.000 0.153
Pd 0.000 0.172 0.327
Pt 0.000 0.319 0.500
Rh 0.000 0.500 0.000

ΔH_f (0 K) in eV per atom: 0.119
Energy above the lowest structure with this stoichiometry in eV/atom: 0.046
Calculated total energy in eV per cell: -99.03
Magnetization in μB per formula unit: 0.149

# 4
A plane-wave DFT calculation with PBE-GGA was carried out for an optimized crystal structure of Pd2Pt8Rh3.

a b c (Å): 9.289 5.375 9.049
angles (deg): 90.00 91.86 90.00
Space group C2/m (No. 12)
Asymmetric unit:
Pd 0.209 0.000 0.495
Pt 0.120 0.251 0.741
Pt 0.131 0.000 0.213
Pt 0.132 0.500 0.230
Rh 0.000 0.255 0.000
Rh 0.000 0.500 0.500

ΔH_f (0 K) in eV per atom: 0.239
Calculated total energy in eV per cell: -155.32
Magnetization in μB per formula unit: 1.159

# 5
A plane-wave DFT calculation with PBE-GGA was carried out for an optimized crystal structure of PdPtRh2.

a b c (Å): 2.753 2.753 7.825
angles (deg): 90.00 90.00 90.00
Space group P4mm (No. 99)
Asymmetric unit:
Pd 0.000 0.000 0.000
Pt 0.500 0.500 0.737
Rh 0.000 0.000 0.485
Rh 0.500 0.500 0.253

ΔH_f (0 K) in eV per atom: 0.002
Energy above the lowest structure with this stoichiometry in eV/atom: 0.000
Calculated total energy in eV per cell: -25.93
Magnetization in μB per formula unit: 0.000

# 6
A plane-wave DFT calculation with PBE-GGA was carried out for an optimized crystal structure of PdPt2Rh8.

a b c (Å): 13.961 3.876 6.134
angles (deg): 90.00 105.42 90.00
Space group C2/m (No. 12)
Asymmetric unit:
Pd 0.000 0.000 0.000
Pt 0.228 0.500 0.640
Rh 0.044 0.500 0.724
Rh 0.089 0.000 0.458
Rh 0.136 0.500 0.180
Rh 0.182 0.000 0.907

ΔH_f (0 K) in eV per atom: 0.015
Calculated total energy in eV per cell: -151.84
Magnetization in μB per formula unit: 0.000

# 7
A plane-wave DFT calculation with PBE-GGA was carried out for an optimized crystal structure of PdPtRh2.

a b c (Å): 6.985 6.985 5.384
angles (deg): 90.00 90.00 90.00
Space group I-42d (No. 122)
Asymmetric unit:
Pd 0.000 0.000 0.000
Pt 0.000 0.000 0.500
Rh 0.243 0.250 0.625

ΔH_f (0 K) in eV per atom: 0.472
Energy above the lowest structure with this stoichiometry in eV/atom: 0.470
Calculated total energy in eV per cell: -96.20
Magnetization in μB per formula unit: 0.000

# 8
A plane-wave DFT calculation with PBE-GGA was carried out for an optimized crystal structure of PdPt4Rh2.

a b c (Å): 6.538 6.538 5.278
angles (deg): 90.00 90.00 90.00
Space group I4/mmm (No. 139)
Asymmetric unit:
Pd 0.000 0.000 0.000
Pt 0.207 0.207 0.500
Rh 0.000 0.500 0.250

ΔH_f (0 K) in eV per atom: 0.150
Energy above the lowest structure with this stoichiometry in eV/atom: 0.000
Calculated total energy in eV per cell: -86.02
Magnetization in μB per formula unit: 0.000